(1)
# Ni2AgW | the Alexandria database | GGA-PBE | optimized geometry
data_Ni2AgW
_space_group_name_H-M_alt 'P 1'
_space_group_IT_number 1
_cell_length_a 4.603
_cell_length_b 4.603
_cell_length_c 2.685
_cell_angle_alpha 90.00
_cell_angle_beta 90.00
_cell_angle_gamma 104.35
loop_
_space_group_symop_operation_xyz
'x,y,z'
loop_
_atom_site_label
_atom_site_type_symbol
_atom_site_fract_x
_atom_site_fract_y
_atom_site_fract_z
Ni1 Ni 0.000 0.500 0.000
Ni2 Ni 0.500 0.000 0.000
Ag1 Ag 0.000 0.000 0.500
W1 W 0.500 0.500 0.500
# Formation enthalpy at 0 K: 1.24 eV per formula unit
# Symmetry: Cmmm, No. 65
# Distance to the lowest polymorph of the same formula: 204 meV per atom

***

(2)
# NiAg2W | the Alexandria database | GGA-PBE | optimized geometry
data_NiAg2W
_space_group_name_H-M_alt 'P 1'
_space_group_IT_number 1
_cell_length_a 5.165
_cell_length_b 5.165
_cell_length_c 2.678
_cell_angle_alpha 90.00
_cell_angle_beta 90.00
_cell_angle_gamma 118.21
loop_
_space_group_symop_operation_xyz
'x,y,z'
loop_
_atom_site_label
_atom_site_type_symbol
_atom_site_fract_x
_atom_site_fract_y
_atom_site_fract_z
Ni1 Ni 0.000 0.000 0.000
Ag1 Ag 0.000 0.500 0.500
Ag2 Ag 0.500 0.000 0.500
W1 W 0.500 0.500 0.000
# Formation enthalpy at 0 K: 2.62 eV per formula unit
# Symmetry: Cmmm, No. 65
# Distance to the lowest polymorph of the same formula: 398 meV per atom

***

Q: What is the formation enthalpy at 0 K in the first record?
A: 1.24 eV per formula unit

***

Q: Which of these has the highest distance to the lowest polymorph of the same formula?
A: NiAg2W

***

Q: formation enthalpy at 0 K of number 1 (Ni2AgW)?
A: 1.24 eV per formula unit